No. 1
# SmLu2Hf PBE relaxed
data_SmLu2Hf
_chemical_formula_sum 'Sm1 Lu2 Hf1'
_space_group_name_H-M_alt 'P 1'
_space_group_IT_number 1
_cell_length_a 4.814
_cell_length_b 4.813
_cell_length_c 4.813
_cell_angle_alpha 90.00
_cell_angle_beta 90.00
_cell_angle_gamma 90.00
loop_
_space_group_symop_operation_xyz
'x,y,z'
loop_
_atom_site_label
_atom_site_fract_x
_atom_site_fract_y
_atom_site_fract_z
Hf1 0.500 0.000 0.000
Lu1 0.000 0.500 0.000
Lu2 0.000 0.000 0.500
Sm1 0.500 0.500 0.500
# - V (Å³ per cell) = 111
# - energy of formation from the pure elements (eV per atom) = 0.14
# - total magnetization (μB/cell) = 0.00
# - space group = P4/mmm
# - D(E_F) (states/eV/cell) = 6.1

No. 2
# SmLu2Hf PBE relaxed
data_SmLu2Hf
_chemical_formula_sum 'Sm1 Lu2 Hf1'
_space_group_name_H-M_alt 'P 1'
_space_group_IT_number 1
_cell_length_a 3.902
_cell_length_b 3.902
_cell_length_c 7.533
_cell_angle_alpha 90.00
_cell_angle_beta 90.00
_cell_angle_gamma 90.00
loop_
_space_group_symop_operation_xyz
'x,y,z'
loop_
_atom_site_label
_atom_site_fract_x
_atom_site_fract_y
_atom_site_fract_z
Hf1 0.500 0.500 0.000
Lu1 0.000 0.000 0.217
Lu2 0.000 0.000 0.783
Sm1 0.500 0.500 0.500
# - V (Å³ per cell) = 115
# - energy of formation from the pure elements (eV per atom) = 0.20
# - total magnetization (μB/cell) = 0.01
# - space group = P4/mmm
# - D(E_F) (states/eV/cell) = 8.2

No. 3
# Sm2LuHf PBE relaxed
data_Sm2LuHf
_chemical_formula_sum 'Sm2 Lu1 Hf1'
_space_group_name_H-M_alt 'P 1'
_space_group_IT_number 1
_cell_length_a 4.008
_cell_length_b 4.008
_cell_length_c 7.231
_cell_angle_alpha 90.00
_cell_angle_beta 90.00
_cell_angle_gamma 90.00
loop_
_space_group_symop_operation_xyz
'x,y,z'
loop_
_atom_site_label
_atom_site_fract_x
_atom_site_fract_y
_atom_site_fract_z
Sm1 0.000 0.000 0.273
Sm2 0.000 0.000 0.727
Hf1 0.500 0.500 0.500
Lu1 0.500 0.500 0.000
# - V (Å³ per cell) = 116
# - energy of formation from the pure elements (eV per atom) = 0.21
# - total magnetization (μB/cell) = 0.00
# - space group = P4/mmm
# - D(E_F) (states/eV/cell) = 4.4